1.
The following is a GGA-PBE calculation of an optimized crystal structure of ErSc5, from Alexandria.

```
data_ErSc5
_chemical_formula_sum 'Er2 Sc10'
_space_group_name_H-M_alt 'C 1 m 1'
_space_group_IT_number 8
_cell_length_a 11.9648
_cell_length_b 3.3618
_cell_length_c 7.8045
_cell_angle_alpha 90.00
_cell_angle_beta 102.87
_cell_angle_gamma 90.00
loop_
_space_group_symop_operation_xyz
'x,y,z'
'x,-y,z'
'x+1/2,y+1/2,z'
'x+1/2,-y+1/2,z'
loop_
_atom_site_label
_atom_site_fract_x
_atom_site_fract_y
_atom_site_fract_z
Er1 0.0000 0.0000 0.0000
Sc1 0.0535 0.0000 0.6053
Sc2 0.1664 0.5000 0.3356
Sc3 0.2225 0.5000 0.9368
Sc4 0.3294 0.0000 0.6591
Sc5 0.3837 0.0000 0.2802
```

Computed properties:
Energy above the most stable polymorph in this dataset (meV/atom): 0


2.
The following is a GGA-PBE calculation of an optimized crystal structure of ErSc2, from Alexandria.

```
data_ErSc2
_chemical_formula_sum 'Er2 Sc4'
_space_group_name_H-M_alt 'I 4/m m m'
_space_group_IT_number 139
_space_group_name_Hall '-I 4 2'
_cell_length_a 3.3480
_cell_length_b 3.3480
_cell_length_c 14.1278
_cell_angle_alpha 90.00
_cell_angle_beta 90.00
_cell_angle_gamma 90.00
loop_
_atom_site_label
_atom_site_fract_x
_atom_site_fract_y
_atom_site_fract_z
Er1 0.0000 0.0000 0.0000
Sc1 0.0000 0.0000 0.3291
```

Computed properties:
Energy above the most stable polymorph in this dataset (meV/atom): 37